Computed, not measured: a relaxed structure of KTlGa2Cu at the GGA-PBE level of DFT.

**Formation energy from the elements**: 0.100 eV/atom
**Crystal system**: tetragonal

Geometry as CIF:
```
data_KTlGa2Cu
_chemical_formula_sum 'K1 Tl1 Ga2 Cu1'
_symmetry_space_group_name_H-M 'P 4/m m m'
_symmetry_Int_Tables_number 123
_symmetry_space_group_name_Hall '-P 4 2'
_cell_length_a 4.909
_cell_length_b 4.909
_cell_length_c 5.412
_cell_angle_alpha 90.00
_cell_angle_beta 90.00
_cell_angle_gamma 90.00
loop_
_atom_site_label
_atom_site_fract_x
_atom_site_fract_y
_atom_site_fract_z
_atom_site_occupancy
K1 0.000 0.000 0.000 1
Tl1 0.500 0.500 0.000 1
Ga1 0.000 0.500 0.500 1
Cu1 0.500 0.500 0.500 1
```



Computed, not measured: a relaxed structure of Nd3Al4 at the GGA-PBE level of DFT.

**Polymorph energy (0 for the lowest one)**: 2.7 kJ/mol of atoms
**Formation energy from the elements**: -0.373 eV/atom
**Crystal system**: orthorhombic

Geometry as CIF:
```
data_Nd3Al4
_chemical_formula_sum 'Nd12 Al16'
_symmetry_space_group_name_H-M 'C m c m'
_symmetry_Int_Tables_number 63
_symmetry_space_group_name_Hall '-C 2c 2'
_cell_length_a 4.489
_cell_length_b 11.382
_cell_length_c 13.935
_cell_angle_alpha 90.00
_cell_angle_beta 90.00
_cell_angle_gamma 90.00
loop_
_atom_site_label
_atom_site_fract_x
_atom_site_fract_y
_atom_site_fract_z
_atom_site_occupancy
Nd1 0.000 0.018 0.250 1
Nd2 0.000 0.276 0.603 1
Al1 0.000 0.000 0.000 1
Al2 0.000 0.303 0.250 1
Al3 0.000 0.436 0.095 1
```



Computed, not measured: a relaxed structure of AlCuCl at the GGA-PBE level of DFT.

**Formation energy from raw total energies**: -0.08 eV per atom
**Polymorph energy (0 for the lowest one)**: 10.4 kJ/mol of atoms
**Crystal system**: tetragonal

Geometry as CIF:
```
data_AlCuCl
_chemical_formula_sum 'Al2 Cu2 Cl2'
_symmetry_space_group_name_H-M 'I 4 m m'
_symmetry_Int_Tables_number 107
_symmetry_space_group_name_Hall 'I 4 -2'
_cell_length_a 3.100
_cell_length_b 3.100
_cell_length_c 10.852
_cell_angle_alpha 90.00
_cell_angle_beta 90.00
_cell_angle_gamma 90.00
loop_
_atom_site_label
_atom_site_fract_x
_atom_site_fract_y
_atom_site_fract_z
_atom_site_occupancy
Al1 0.000 0.000 0.000 1
Cu1 0.000 0.000 0.614 1
Cl1 0.000 0.000 0.328 1
```



Computed, not measured: a relaxed structure of Mn3Tl2Te6 at the GGA-PBE level of DFT.

**Formation energy from raw total energies**: -0.22 eV per atom
**Crystal system**: monoclinic

Geometry as CIF:
```
data_Mn3Tl2Te6
_chemical_formula_sum 'Mn6 Tl4 Te12'
_symmetry_space_group_name_H-M 'C 1 2/m 1'
_symmetry_Int_Tables_number 12
_cell_length_a 6.915
_cell_length_b 11.976
_cell_length_c 8.389
_cell_angle_alpha 90.00
_cell_angle_beta 106.26
_cell_angle_gamma 90.00
loop_
_symmetry_equiv_pos_as_xyz
'x,y,z'
'-x,-y,-z'
'-x,y,-z'
'x,-y,z'
'x+1/2,y+1/2,z'
'-x+1/2,-y+1/2,-z'
'-x+1/2,y+1/2,-z'
'x+1/2,-y+1/2,z'
loop_
_atom_site_label
_atom_site_fract_x
_atom_site_fract_y
_atom_site_fract_z
_atom_site_occupancy
Mn1 0.000 0.000 0.000 1
Mn2 0.000 0.329 0.000 1
Tl1 0.000 0.164 0.500 1
Te1 0.227 0.500 0.184 1
Te2 0.233 0.165 0.192 1
```



Computed, not measured: a relaxed structure of SrPt2Cl at the GGA-PBE level of DFT.

**Formation energy from raw total energies**: -0.64 eV per atom
**Polymorph energy (0 for the lowest one)**: 15.3 kJ/mol of atoms
**Crystal system**: tetragonal

Geometry as CIF:
```
data_SrPt2Cl
_chemical_formula_sum 'Sr4 Pt8 Cl4'
_symmetry_space_group_name_H-M 'I -4 2 d'
_symmetry_Int_Tables_number 122
_symmetry_space_group_name_Hall 'I -4 2bw'
_cell_length_a 3.875
_cell_length_b 3.875
_cell_length_c 24.308
_cell_angle_alpha 90.00
_cell_angle_beta 90.00
_cell_angle_gamma 90.00
loop_
_atom_site_label
_atom_site_fract_x
_atom_site_fract_y
_atom_site_fract_z
_atom_site_occupancy
Sr1 0.000 0.000 0.000 1
Pt1 0.243 0.250 0.125 1
Cl1 0.000 0.000 0.500 1
```



Computed, not measured: a relaxed structure of Na2ZnNi2 at the GGA-PBE level of DFT.

**Formation energy from the elements**: 0.218 eV/atom
**Crystal system**: tetragonal

Geometry as CIF:
```
data_Na2ZnNi2
_chemical_formula_sum 'Na4 Zn2 Ni4'
_symmetry_space_group_name_H-M 'P 4/m b m'
_symmetry_Int_Tables_number 127
_symmetry_space_group_name_Hall '-P 4 2ab'
_cell_length_a 6.112
_cell_length_b 6.112
_cell_length_c 4.728
_cell_angle_alpha 90.00
_cell_angle_beta 90.00
_cell_angle_gamma 90.00
loop_
_atom_site_label
_atom_site_fract_x
_atom_site_fract_y
_atom_site_fract_z
_atom_site_occupancy
Na1 0.176 0.324 0.000 1
Zn1 0.000 0.000 0.500 1
Ni1 0.133 0.633 0.500 1
```



Computed, not measured: a relaxed structure of Pm3CdPd3 at the GGA-PBE level of DFT.

**Formation energy from the elements**: -0.578 eV/atom
**Crystal system**: monoclinic

Geometry as CIF:
```
data_Pm3CdPd3
_chemical_formula_sum 'Pm12 Cd4 Pd12'
_symmetry_space_group_name_H-M 'C 1 2/m 1'
_symmetry_Int_Tables_number 12
_cell_length_a 8.902
_cell_length_b 10.755
_cell_length_c 7.157
_cell_angle_alpha 90.00
_cell_angle_beta 92.13
_cell_angle_gamma 90.00
loop_
_symmetry_equiv_pos_as_xyz
'x,y,z'
'-x,-y,-z'
'-x,y,-z'
'x,-y,z'
'x+1/2,y+1/2,z'
'-x+1/2,-y+1/2,-z'
'-x+1/2,y+1/2,-z'
'x+1/2,-y+1/2,z'
loop_
_atom_site_label
_atom_site_fract_x
_atom_site_fract_y
_atom_site_fract_z
_atom_site_occupancy
Pm1 0.000 0.167 0.000 1
Pm2 0.000 0.251 0.500 1
Pm3 0.144 0.500 0.858 1
Cd1 0.222 0.500 0.365 1
Pd1 0.070 0.000 0.318 1
Pd2 0.240 0.265 0.214 1
```



Computed, not measured: a relaxed structure of Mg8Cd6Hg at the GGA-PBE level of DFT.

**Formation energy from the elements**: -0.048 eV/atom
**Crystal system**: trigonal

Geometry as CIF:
```
data_Mg8Cd6Hg
_chemical_formula_sum 'Mg24 Cd18 Hg3'
_symmetry_space_group_name_H-M 'R -3'
_symmetry_Int_Tables_number 148
_symmetry_space_group_name_Hall '-R 3'
_cell_length_a 7.8811
_cell_length_b 7.8811
_cell_length_c 18.8471
_cell_angle_alpha 90.00
_cell_angle_beta 90.00
_cell_angle_gamma 120.00
loop_
_atom_site_label
_atom_site_fract_x
_atom_site_fract_y
_atom_site_fract_z
_atom_site_occupancy
Mg1 0.0000 0.0000 0.0870 1
Mg2 0.0386 0.2555 0.6230 1
Cd1 0.0165 0.2418 0.7795 1
Hg1 0.0000 0.0000 0.5000 1
```



Computed, not measured: a relaxed structure of MgBeAg2 at the GGA-PBE level of DFT.

**Polymorph energy (0 for the lowest one)**: 14.3 kJ/mol of atoms
**Formation energy from the elements**: 0.135 eV/atom
**Crystal system**: trigonal

Geometry as CIF:
```
data_MgBeAg2
_chemical_formula_sum 'Mg3 Be3 Ag6'
_symmetry_space_group_name_H-M 'R -3 m'
_symmetry_Int_Tables_number 166
_symmetry_space_group_name_Hall '-R 3 2"'
_cell_length_a 2.9423
_cell_length_b 2.9423
_cell_length_c 25.8740
_cell_angle_alpha 90.00
_cell_angle_beta 90.00
_cell_angle_gamma 120.00
loop_
_atom_site_label
_atom_site_fract_x
_atom_site_fract_y
_atom_site_fract_z
_atom_site_occupancy
Mg1 0.0000 0.0000 0.0000 1
Be1 0.0000 0.0000 0.5000 1
Ag1 0.0000 0.0000 0.2393 1
```



Computed, not measured: a relaxed structure of BaCuSi2 at the GGA-PBE level of DFT.

**Formation energy from raw total energies**: 0.08 eV per atom
**Crystal system**: orthorhombic

Geometry as CIF:
```
data_BaCuSi2
_chemical_formula_sum 'Ba2 Cu2 Si4'
_symmetry_space_group_name_H-M 'C m m m'
_symmetry_Int_Tables_number 65
_symmetry_space_group_name_Hall '-C 2 2'
_cell_length_a 4.874
_cell_length_b 4.882
_cell_length_c 7.054
_cell_angle_alpha 90.00
_cell_angle_beta 90.00
_cell_angle_gamma 90.00
loop_
_atom_site_label
_atom_site_fract_x
_atom_site_fract_y
_atom_site_fract_z
_atom_site_occupancy
Ba1 0.000 0.000 0.000 1
Cu1 0.000 0.000 0.500 1
Si1 0.000 0.500 0.335 1
```



Computed, not measured: a relaxed structure of NaZrGe3 at the GGA-PBE level of DFT.

**Polymorph energy (0 for the lowest one)**: 0.0 kJ/mol of atoms
**Formation energy from the elements**: 0.150 eV/atom
**Crystal system**: cubic

Geometry as CIF:
```
data_NaZrGe3
_chemical_formula_sum 'Na1 Zr1 Ge3'
_symmetry_space_group_name_H-M 'P m -3 m'
_symmetry_Int_Tables_number 221
_symmetry_space_group_name_Hall '-P 4 2 3'
_cell_length_a 5.238
_cell_length_b 5.238
_cell_length_c 5.238
_cell_angle_alpha 90.00
_cell_angle_beta 90.00
_cell_angle_gamma 90.00
loop_
_atom_site_label
_atom_site_fract_x
_atom_site_fract_y
_atom_site_fract_z
_atom_site_occupancy
Na1 0.000 0.000 0.000 1
Zr1 0.500 0.500 0.500 1
Ge1 0.000 0.500 0.500 1
```



Computed, not measured: a relaxed structure of CuHgTe2 at the GGA-PBE level of DFT.

**Formation energy from raw total energies**: 0.21 eV per atom
**Crystal system**: tetragonal

Geometry as CIF:
```
data_CuHgTe2
_chemical_formula_sum 'Cu1 Hg1 Te2'
_symmetry_space_group_name_H-M 'P 4/m m m'
_symmetry_Int_Tables_number 123
_symmetry_space_group_name_Hall '-P 4 2'
_cell_length_a 3.567
_cell_length_b 3.567
_cell_length_c 8.286
_cell_angle_alpha 90.00
_cell_angle_beta 90.00
_cell_angle_gamma 90.00
loop_
_atom_site_label
_atom_site_fract_x
_atom_site_fract_y
_atom_site_fract_z
_atom_site_occupancy
Cu1 0.000 0.000 0.000 1
Hg1 0.000 0.000 0.500 1
Te1 0.500 0.500 0.173 1
```



Number 1: size of the total moment 0.000 μB/f.u.. Number 2: size of the total moment 0.018 μB/f.u.. Number 3: size of the total moment 0.000 μB/f.u.. Number 4: size of the total moment 11.160 μB/f.u.. Number 5: size of the total moment 0.000 μB/f.u.. Number 6: size of the total moment 0.000 μB/f.u.. Number 7: size of the total moment 0.000 μB/f.u.. Number 8: size of the total moment 0.000 μB/f.u.. Number 9: size of the total moment 0.000 μB/f.u.. Number 10: size of the total moment 0.000 μB/f.u.. Number 11: size of the total moment 0.000 μB/f.u.. Number 12: size of the total moment 0.000 μB/f.u..